1.
Below is a relaxed LiCuIrPb crystal, with properties calculated at the GGA-PBE level. Values from VASP.

Computed properties:
* final energy: -0.171 hartree per atom
* ΔE_f: 0.000 eV/atom
* symmetry: F-43m

Structure (Quantum ESPRESSO input):
```
&SYSTEM
  ibrav = 0, nat = 4, ntyp = 4
/
ATOMIC_SPECIES
Pb 207.20 Pb.upf
Ir 192.22 Ir.upf
Cu 63.55 Cu.upf
Li 6.94 Li.upf
CELL_PARAMETERS angstrom
-2.2657 -3.8861 -0.1574
2.2063 -3.9073 0.3530
-0.4360 -2.5030 3.7154
ATOMIC_POSITIONS crystal
Pb 0.7500 0.7500 0.7500
Ir 0.5000 0.5000 0.5000
Cu 0.2500 0.2500 0.2500
Li 0.0000 0.0000 0.0000
```

***

2.
Below is a relaxed Tl2HgIr crystal, with properties calculated at the GGA-PBE level. Values from VASP.

Computed properties:
* final energy: -0.115 hartree per atom
* ΔE to the lowest computed polymorph: 109 meV/atom
* ΔE_f: 0.356 eV/atom
* symmetry: P4mm

Structure (Quantum ESPRESSO input):
```
&SYSTEM
  ibrav = 0, nat = 4, ntyp = 3
/
ATOMIC_SPECIES
Hg 200.59 Hg.upf
Ir 192.22 Ir.upf
Tl 204.38 Tl.upf
CELL_PARAMETERS angstrom
3.2458 0.0169 0.0000
-0.0158 3.2458 0.0000
0.0000 0.0000 8.8771
ATOMIC_POSITIONS crystal
Hg 0.0000 0.0000 0.5480
Ir 0.5000 0.5000 0.7446
Tl 0.0000 0.0000 0.9466
Tl 0.5000 0.5000 0.2608
```

***

3.
Below is a relaxed AcTiSn3 crystal, with properties calculated at the GGA-PBE level. Values from VASP.

Computed properties:
* final energy: -0.187 hartree per atom
* ΔE to the lowest computed polymorph: 244 meV/atom
* ΔE_f: -0.278 eV/atom
* symmetry: Pm-3m

Structure (Quantum ESPRESSO input):
```
&SYSTEM
  ibrav = 0, nat = 5, ntyp = 3
/
ATOMIC_SPECIES
Ac 227.00 Ac.upf
Sn 118.71 Sn.upf
Ti 47.87 Ti.upf
CELL_PARAMETERS angstrom
5.2888 0.0000 0.0000
0.0000 5.2888 0.0000
0.0000 0.0000 5.2888
ATOMIC_POSITIONS crystal
Ac 0.5000 0.5000 0.5000
Sn 0.0000 0.5000 0.0000
Sn 0.0000 0.0000 0.5000
Sn 0.5000 0.0000 0.0000
Ti 0.0000 0.0000 0.0000
```

***

4.
Below is a relaxed Er3ZrCu2 crystal, with properties calculated at the GGA-PBE level. Values from VASP.

Computed properties:
* final energy: -0.192 hartree per atom
* ΔE_f: -0.160 eV/atom
* symmetry: P4/mmm

Structure (Quantum ESPRESSO input):
```
&SYSTEM
  ibrav = 0, nat = 6, ntyp = 3
/
ATOMIC_SPECIES
Er 167.26 Er.upf
Zr 91.22 Zr.upf
Cu 63.55 Cu.upf
CELL_PARAMETERS angstrom
-3.2651 0.8629 -0.4431
0.0251 -1.4802 -3.0676
-3.2869 -9.9789 4.7881
ATOMIC_POSITIONS crystal
Er 0.0000 0.0000 0.0000
Er 0.0000 0.0000 0.7005
Er 0.0000 0.0000 0.2995
Zr 0.5000 0.5000 0.5000
Cu 0.5000 0.5000 0.8506
Cu 0.5000 0.5000 0.1494
```

***

5.
Below is a relaxed Tl2GaSnBi2 crystal, with properties calculated at the GGA-PBE level. Values from VASP.

Computed properties:
* final energy: -0.119 hartree per atom
* ΔE_f: 0.028 eV/atom
* symmetry: Ibam

Structure (Quantum ESPRESSO input):
```
&SYSTEM
  ibrav = 0, nat = 12, ntyp = 4
/
ATOMIC_SPECIES
Tl 204.38 Tl.upf
Ga 69.72 Ga.upf
Sn 118.71 Sn.upf
Bi 208.98 Bi.upf
CELL_PARAMETERS angstrom
7.3589 0.0000 0.0000
0.0000 7.3221 0.0000
-3.6795 -3.6611 7.4230
ATOMIC_POSITIONS crystal
Tl 0.4159 0.1620 0.3240
Tl 0.5841 0.8380 0.6760
Tl 0.0918 0.3380 0.6760
Tl 0.9082 0.6620 0.3240
Ga 0.5000 0.7500 0.0000
Ga 0.5000 0.2500 0.0000
Sn 0.0000 0.7500 0.0000
Sn 0.0000 0.2500 0.0000
Bi 0.8450 0.1122 0.2244
Bi 0.3795 0.6122 0.2244
Bi 0.6205 0.3878 0.7756
Bi 0.1550 0.8878 0.7756
```

***

6.
Below is a relaxed Na3TeRh crystal, with properties calculated at the GGA-PBE level. Values from VASP.

Computed properties:
* final energy: -0.093 hartree per atom
* ΔE to the lowest computed polymorph: 0 meV/atom
* symmetry: Pm-3m
* raw formation energy: 0.35 eV/atom

Structure (Quantum ESPRESSO input):
```
&SYSTEM
  ibrav = 0, nat = 5, ntyp = 3
/
ATOMIC_SPECIES
Na 22.99 Na.upf
Te 127.60 Te.upf
Rh 102.91 Rh.upf
CELL_PARAMETERS angstrom
-3.8660 -2.6767 -2.5305
-1.0416 -2.7242 4.4729
-3.5331 3.7320 1.4502
ATOMIC_POSITIONS crystal
Na 0.0000 0.5000 0.0000
Na 0.0000 0.0000 0.5000
Na 0.5000 0.0000 0.0000
Te 0.5000 0.5000 0.5000
Rh 0.0000 0.0000 0.0000
```